(1)
Material: Tl6Hg2PtAu
Method: DFT, PBE
State: relaxed

a = 6.614 Å, b = 7.605 Å, c = 7.640 Å
α = 93.19°, β = 114.19°, γ = 115.67°
Atoms (fractional coordinates):
Tl1 0.054 0.221 0.154
Tl2 0.297 0.642 0.691
Tl3 0.428 0.184 0.676
Tl4 0.572 0.816 0.324
Tl5 0.703 0.358 0.309
Tl6 0.946 0.779 0.846
Hg1 0.043 0.797 0.286
Hg2 0.957 0.203 0.714
Pt1 0.500 0.500 0.500
Au1 0.500 0.000 0.000

Values from the calculation:
Magnetic moment in μB per formula unit: 0.0
ΔH_f (0 K) in eV per atom: 0.000
Electronic total energy in eV/atom: -2.412
Density of states at the Fermi level in states/eV/atom: 0.390


(2)
Material: TlAgTeO4
Method: DFT, PBE
State: relaxed

a = 6.696 Å, b = 6.353 Å, c = 6.938 Å
α = 90.00°, β = 103.23°, γ = 90.00°
Atoms (fractional coordinates):
Tl1 0.231 0.250 0.436
Tl2 0.769 0.750 0.564
Ag1 0.320 0.250 0.916
Ag2 0.680 0.750 0.084
Te1 0.205 0.750 0.128
Te2 0.795 0.250 0.872
O1 0.024 0.750 0.294
O2 0.064 0.750 0.868
O3 0.381 0.518 0.181
O4 0.381 0.982 0.181
O5 0.619 0.018 0.819
O6 0.619 0.482 0.819
O7 0.936 0.250 0.132
O8 0.976 0.250 0.706

Values from the calculation:
Magnetic moment in μB per formula unit: 0.0
Electronic total energy in eV/atom: -4.667
ΔE_f (raw) in meV/atom: -639